## Rh3W (PBE)

Data for crystalline Rh3W at its relaxed geometry.

Computed properties:
The calculation puts the total energy at -7.127 eV/atom. As for the crystal system: cubic. The calculation puts the volume at 26.37 A^3/atom. Its formation energy is 1624.5 meV per atom. As for the theoretical density: 7.8 g cm⁻³. The density of states at the Fermi level is 3.6 states/eV per cell. Its total moment is 0.0 Bohr magnetons per cell.

Cell lengths 4.7247, 4.7247, 4.7247 Å; angles 90.00, 90.00, 90.00 degrees
Space group Pm-3m (No. 221)
Inequivalent atoms, fractional coordinates:
1 Rh 0.0000 0.0000 0.5000
2 W 0.0000 0.0000 0.0000

## Co3Cu (PBE)

Data for crystalline Co3Cu at its relaxed geometry.

Computed properties:
The calculation puts the total energy at -6.259 eV/atom. As for the crystal system: monoclinic. The calculation puts the volume at 11.16 A^3/atom. Its formation energy is 94.3 meV per atom. As for the theoretical density: 8.9 g cm⁻³. The density of states at the Fermi level is 7.5 states/eV per cell. Its total moment is 9.8 Bohr magnetons per cell.

Cell lengths 8.3698, 2.4972, 4.3403 Å; angles 90.00, 100.14, 90.00 degrees
Space group C2/m (No. 12)
Inequivalent atoms, fractional coordinates:
1 Co 0.0000 0.0000 0.0000
2 Co 0.2455 0.5000 0.2422
3 Cu 0.0000 0.5000 0.5000

## Ga2HgSe2 (PBE)

Data for crystalline Ga2HgSe2 at its relaxed geometry.

Computed properties:
The calculation puts the total energy at -2.872 eV/atom. For the excess energy over the best structure of this formula in the dataset, the calculation gives 253 meV/atom. As for the crystal system: tetragonal. The calculation puts the volume at 27.80 A^3/atom. As for the theoretical density: 5.9 g cm⁻³. The density of states at the Fermi level is 5.2 states/eV per cell. Its formation energy without anion corrections is -1.0 eV/f.u. Its total moment is 0.0 Bohr magnetons per cell.

Cell lengths 4.7592, 4.7592, 12.2748 Å; angles 90.00, 90.00, 90.00 degrees
Space group I4/mmm (No. 139)
Inequivalent atoms, fractional coordinates:
1 Ga 0.0000 0.5000 0.2500
2 Hg 0.0000 0.0000 0.0000
3 Se 0.0000 0.0000 0.3438